Compound: Al2FeCO
Source: the Alexandria database
Functional: PBE+U
Structure: relaxed

Summary:
Energy (Ry/atom): -0.331
DOS at the Fermi energy (states/eV/f.u.): 1.54
Density (g/cm³): 3.3

abc: 4.4771 3.5043 4.4771
angles: 90.00 90.00 90.00
Last column: magnetic moment on the atom in μB.
Sites, in units of the cell vectors:
Al 0.0000 0.0000 0.5000  0.01
Al 0.5000 0.0000 0.0000  0.01
O 0.5000 0.5000 0.5000  0.12
C 0.0000 0.5000 0.0000  -0.24
Fe 0.0000 0.0000 0.0000  1.55